Entry from Alexandria: an optimized crystal structure of ScZnSi2 (PBE).

Cell: 4.051 4.051 3.865 Å, 90.00 90.00 90.00°
Space group P4/mmm (No. 123)
Asymmetric unit:
Sc 0.000 0.000 0.000 (multiplicity 1)
Zn 0.500 0.500 0.000 (multiplicity 1)
Si 0.000 0.500 0.500 (multiplicity 2)

crystal system: tetragonal
D(E_F): 1.79 states/eV/cell
uncorrected formation energy: -309 meV per atom

***

Entry from Alexandria: an optimized crystal structure of HoThZnPt (PBE).

Cell: 7.180 7.180 7.180 Å, 90.00 90.00 90.00°
Space group F-43m (No. 216)
Asymmetric unit:
Ho 0.000 0.000 0.000 (multiplicity 4)
Th 0.000 0.000 0.500 (multiplicity 4)
Zn 0.250 0.250 0.750 (multiplicity 4)
Pt 0.250 0.250 0.250 (multiplicity 4)

E_tot: -87.94 eV for the cell shown
crystal system: cubic
D(E_F): 13.85 states/eV/cell